## NiBO2F (GGA+U)

Data for an optimized crystal structure of NiBO2F.

The structure in CIF format:
```
data_NiBO2F
_cell_length_a 3.7475
_cell_length_b 3.7475
_cell_length_c 3.8596
_cell_angle_alpha 90.00
_cell_angle_beta 90.00
_cell_angle_gamma 90.00
_space_group_name_H-M_alt 'P 1'
_space_group_IT_number 1
_space_group_name_Hall 'P 1'
loop_
_atom_site_label
_atom_site_fract_x
_atom_site_fract_y
_atom_site_fract_z
Ni1 0.0000 0.0000 0.0000
B1 0.5000 0.5000 0.5000
O1 0.0000 0.5000 0.0000
O2 0.5000 0.0000 0.0000
F1 0.0000 0.0000 0.5000
```

Values from the calculation:
* calculated total energy: -3.820 eV/atom